# 1
## CaTlSb2 (PBE)

Data for crystalline CaTlSb2 at its relaxed geometry.

```
CaTlSb2
1.0
5.9742 -0.0171 -0.0220
2.0914 5.5963 0.0220
-4.0181 -2.8109 3.4127
Ca Sb Tl
1 2 1
Cartesian
1.0530 2.7875 1.7173
4.0324 2.7893 0.0000
0.0004 0.0003 0.0000
2.9945 -0.0192 1.6954
```

Properties
- ΔE to the lowest computed polymorph (meV per atom) = 21.9
- total magnetization (Bohr magnetons per cell) = 0.00
- formation energy without anion corrections (eV/atom) = -0.4022
- Fermi-level density of states (states/eV/atom) = 0.37

=====

# 2
## CaTl4Sb (PBE)

Data for crystalline CaTl4Sb at its relaxed geometry.

```
CaTl4Sb
1.0
0.0000 4.5499 4.5499
4.5499 0.0000 4.5499
4.5499 4.5499 0.0000
Tl Ca Sb
4 1 1
Cartesian
5.6896 3.4102 5.6896
5.6896 5.6896 3.4102
3.4102 5.6896 5.6896
3.4102 3.4102 3.4102
6.8248 6.8248 6.8248
0.0000 0.0000 0.0000
```

Properties
- total magnetization (Bohr magnetons per cell) = 0.00
- formation energy without anion corrections (eV/atom) = -0.0234
- Fermi-level density of states (states/eV/atom) = 0.73

=====

# 3
## CaTlSb2 (PBE)

Data for crystalline CaTlSb2 at its relaxed geometry.

```
CaTlSb2
1.0
4.3391 0.0000 0.0000
0.0000 4.1897 0.0007
0.0000 4.1828 6.7251
Sb Ca Tl
2 1 1
Cartesian
0.0000 4.1839 6.4848
0.0000 4.1850 3.6032
2.1695 6.2793 5.0443
2.1695 2.0931 1.6814
```

Properties
- ΔE to the lowest computed polymorph (meV per atom) = 0.0
- total magnetization (Bohr magnetons per cell) = 0.00
- formation energy without anion corrections (eV/atom) = -0.4241
- Fermi-level density of states (states/eV/atom) = 0.42

=====

# 4
## CaTlSb2 (PBE)

Data for crystalline CaTlSb2 at its relaxed geometry.

```
CaTlSb2
1.0
3.4998 0.0000 0.0000
0.0000 3.4998 0.0000
0.0000 0.0000 9.7843
Sb Ca Tl
2 1 1
Cartesian
0.0000 0.0000 9.5956
0.0000 0.0000 5.0808
1.7499 1.7499 7.3382
1.7499 1.7499 2.4461
```

Properties
- ΔE to the lowest computed polymorph (meV per atom) = 55.3
- total magnetization (Bohr magnetons per cell) = 0.00
- formation energy without anion corrections (eV/atom) = -0.3689
- Fermi-level density of states (states/eV/atom) = 0.54

=====

# 5
## CaTl2Sb (PBE)

Data for crystalline CaTl2Sb at its relaxed geometry.

```
CaTl2Sb
1.0
4.1728 -0.0070 0.0000
0.0037 4.1729 0.0000
0.0000 0.0000 6.7605
Ca Tl Sb
1 2 1
Cartesian
2.0883 2.0829 1.6901
0.0000 0.0000 3.4783
0.0000 0.0000 6.6625
2.0883 2.0829 5.0704
```

Properties
- ΔE to the lowest computed polymorph (meV per atom) = 179.6
- total magnetization (Bohr magnetons per cell) = 0.00
- formation energy without anion corrections (eV/atom) = -0.2186
- Fermi-level density of states (states/eV/atom) = 0.38

=====

# 6
## CaTlSb2 (PBE)

Data for crystalline CaTlSb2 at its relaxed geometry.

```
CaTlSb2
1.0
0.0000 3.9078 3.9078
3.9078 0.0000 3.9078
3.9078 3.9078 0.0000
Sb Ca Tl
2 1 1
Cartesian
1.9539 1.9539 1.9539
5.8618 5.8618 5.8618
0.0000 0.0000 0.0000
3.9078 3.9078 3.9078
```

Properties
- ΔE to the lowest computed polymorph (meV per atom) = 180.0
- total magnetization (Bohr magnetons per cell) = 0.00
- formation energy without anion corrections (eV/atom) = -0.2442
- Fermi-level density of states (states/eV/atom) = 0.60

=====

# 7
## Ca4TlSb (PBE)

Data for crystalline Ca4TlSb at its relaxed geometry.

```
Ca4TlSb
1.0
4.4145 -4.8382 1.1590
2.4946 -0.8322 6.1093
-1.7500 -5.3032 3.6128
Tl Ca Sb
1 4 1
Cartesian
0.0000 0.0000 0.0000
4.1338 -6.5288 4.6640
1.9380 -4.1223 4.0875
1.0676 -6.7601 5.8845
3.1788 -4.5362 7.1262
3.8693 -8.2303 8.1608
```

Properties
- ΔE to the lowest computed polymorph (meV per atom) = 654.0
- total magnetization (Bohr magnetons per cell) = 0.00
- formation energy without anion corrections (eV/atom) = 0.0776
- Fermi-level density of states (states/eV/atom) = 1.30

=====

# 8
## Ca2Tl2Sb (PBE)

Data for crystalline Ca2Tl2Sb at its relaxed geometry.

```
Ca2Tl2Sb
1.0
-1.0362 2.8502 -7.4628
1.4897 -7.3244 -3.0041
-4.5771 -1.0302 0.2421
Tl Ca Sb
4 4 2
Cartesian
0.4066 -2.2999 -2.0991
0.0468 -2.1744 -8.3679
0.9109 -5.3002 -5.3341
-0.4574 0.8260 -5.1329
-2.3759 -0.8252 -2.8500
-2.6573 -0.5641 -7.0588
-1.4664 -4.9403 -3.1660
-1.7477 -4.6793 -7.3749
0.0000 0.0000 0.0000
0.2267 -2.2371 -5.2335
```

Properties
- ΔE to the lowest computed polymorph (meV per atom) = 0.0
- total magnetization (Bohr magnetons per cell) = 0.00
- formation energy without anion corrections (eV/atom) = -0.3811
- Fermi-level density of states (states/eV/atom) = 0.59

=====

# 9
## CaTlSb2 (PBE)

Data for crystalline CaTlSb2 at its relaxed geometry.

```
CaTlSb2
1.0
8.6809 0.0000 0.0000
0.0000 8.6809 0.0000
4.3405 4.3405 3.2576
Tl Sb Ca
2 4 2
Cartesian
0.0000 0.0000 0.0000
8.6809 4.3405 1.6288
6.5107 6.4387 2.4432
2.0983 6.5107 0.8144
10.8512 10.9231 2.4432
6.5826 2.1702 0.8144
4.3405 8.6809 1.6288
4.3405 4.3405 0.0000
```

Properties
- ΔE to the lowest computed polymorph (meV per atom) = 168.5
- total magnetization (Bohr magnetons per cell) = 0.00
- formation energy without anion corrections (eV/atom) = -0.2556
- Fermi-level density of states (states/eV/atom) = 0.76

=====

# 10
## Ca5Tl2Sb (PBE)

Data for crystalline Ca5Tl2Sb at its relaxed geometry.

```
Ca5Tl2Sb
1.0
7.6257 0.0000 -3.5997
-1.6993 7.4339 -3.5997
-0.2702 -0.3389 9.3046
Sb Ca Tl
2 10 4
Cartesian
1.3465 1.6890 2.8525
4.3097 5.4060 -0.7473
-0.9284 3.6182 4.6283
4.4560 7.1938 -3.7192
0.0000 0.0000 0.0000
1.2002 -0.0988 5.8244
3.0568 2.2301 -0.1195
0.9282 5.9470 -1.3156
4.7280 1.1480 3.4208
2.9632 3.7170 -3.5997
2.5994 4.8650 2.2247
6.5846 3.4769 -2.5231
5.5594 4.6869 -5.3996
1.3403 6.4640 -4.4602
0.3670 2.7470 -1.7999
4.5861 0.9699 -2.7392
```

Properties
- total magnetization (Bohr magnetons per cell) = 0.00
- formation energy without anion corrections (eV/atom) = -0.5176
- Fermi-level density of states (states/eV/atom) = 1.07

=====

# 11
## Ca4TlSb (PBE)

Data for crystalline Ca4TlSb at its relaxed geometry.

```
Ca4TlSb
1.0
-7.0448 2.6814 0.5325
-2.1243 -4.4427 -5.7325
2.8672 -4.6008 7.4810
Ca Sb Tl
8 2 2
Cartesian
-0.4481 -1.4226 1.2654
-5.8537 -4.9395 1.0155
-5.0278 -2.3021 -1.3323
-4.7957 -2.7166 3.8821
-3.9691 -0.0795 1.5342
-1.2741 -4.0599 3.6133
-2.3328 -6.2826 0.7468
-1.5062 -3.6454 -1.6012
-6.8766 -1.3211 -3.9001
-2.2925 -0.4402 -1.3000
-2.0888 -0.9597 4.0067
0.3715 -4.5217 0.8742
```

Properties
- ΔE to the lowest computed polymorph (meV per atom) = 0.0
- total magnetization (Bohr magnetons per cell) = 0.00
- formation energy without anion corrections (eV/atom) = -0.5764
- Fermi-level density of states (states/eV/atom) = 0.34

=====

# 12
## CaTl2Sb (PBE)

Data for crystalline CaTl2Sb at its relaxed geometry.

```
CaTl2Sb
1.0
6.9685 -0.0109 0.1207
-3.9993 5.7066 0.1207
1.1157 2.1402 3.2200
Tl Ca Sb
2 1 1
Cartesian
0.0000 0.0000 0.0000
1.4846 2.8479 0.1207
4.0421 1.0646 1.6704
-1.4418 3.9234 1.6704
```

Properties
- ΔE to the lowest computed polymorph (meV per atom) = 88.7
- total magnetization (Bohr magnetons per cell) = 0.00
- formation energy without anion corrections (eV/atom) = -0.3095
- Fermi-level density of states (states/eV/atom) = 0.55

=====

# 13
## CaTlSb2 (PBE)

Data for crystalline CaTlSb2 at its relaxed geometry.

```
CaTlSb2
1.0
-4.5451 0.2950 1.6999
-1.6371 -2.2484 -3.9868
0.5411 -4.2750 2.1888
Tl Ca Sb
1 1 2
Cartesian
-2.0020 -1.9900 1.9444
-0.5480 -3.2617 -0.8990
-3.0911 -0.9767 -1.1434
0.0000 0.0000 0.0000
```

Properties
- ΔE to the lowest computed polymorph (meV per atom) = 11.0
- total magnetization (Bohr magnetons per cell) = 0.00
- formation energy without anion corrections (eV/atom) = -0.4131
- Fermi-level density of states (states/eV/atom) = 0.24

=====

# 14
## CaTl6Sb8 (PBE)

Data for crystalline CaTl6Sb8 at its relaxed geometry.

```
CaTl6Sb8
1.0
7.7921 -0.0696 2.6033
1.8535 7.5688 2.6033
-0.0895 -0.0696 8.2150
Sb Tl Ca
8 6 1
Cartesian
1.8653 1.4502 2.6198
8.8337 4.2620 5.2907
2.9355 7.5103 7.6921
0.7224 3.1676 8.1309
4.6504 0.9934 10.0785
4.9057 6.4362 3.3430
7.6908 5.9794 10.8018
6.6206 -0.0808 5.7295
3.8045 4.2914 9.0722
5.7516 3.1382 4.3493
6.9052 2.6291 7.7846
2.6509 4.8004 5.6369
3.5906 1.3857 6.8581
5.9655 6.0439 6.5634
0.0000 0.0000 0.0000
```

Properties
- total magnetization (Bohr magnetons per cell) = 0.00
- formation energy without anion corrections (eV/atom) = -0.0733
- Fermi-level density of states (states/eV/atom) = 0.25

=====

# 15
## Ca5TlSb4 (PBE)

Data for crystalline Ca5TlSb4 at its relaxed geometry.

```
Ca5TlSb4
1.0
4.4408 0.0000 1.4182
1.6359 8.1571 2.5395
-0.3252 0.4582 8.6803
Sb Ca Tl
4 5 1
Cartesian
1.3620 2.7233 7.2282
0.3306 2.1459 2.7959
3.2006 6.4694 9.1330
2.1691 5.8921 4.7007
2.8932 3.2043 10.0956
5.0788 5.4110 3.2514
3.8476 0.5773 7.1069
4.1244 8.0380 6.2401
3.9860 4.3077 6.6735
1.1102 0.0000 0.3545
```

Properties
- total magnetization (Bohr magnetons per cell) = 0.00
- formation energy without anion corrections (eV/atom) = -0.7502
- Fermi-level density of states (states/eV/atom) = 0.40

=====

# 16
## CaTl2Sb (PBE)

Data for crystalline CaTl2Sb at its relaxed geometry.

```
CaTl2Sb
1.0
-1.2269 1.8406 -5.0880
2.9977 -1.6803 -4.3556
-2.2249 -3.4466 -3.7351
Tl Sb Ca
2 1 1
Cartesian
0.0000 0.0000 0.0000
-0.1135 -0.8216 -3.2947
-0.3406 -2.4648 -9.8840
-0.2270 -1.6432 -6.5894
```

Properties
- ΔE to the lowest computed polymorph (meV per atom) = 120.1
- total magnetization (Bohr magnetons per cell) = 0.00
- formation energy without anion corrections (eV/atom) = -0.2781
- Fermi-level density of states (states/eV/atom) = 0.55

=====

# 17
## Ca6Tl5Sb (PBE)

Data for crystalline Ca6Tl5Sb at its relaxed geometry.

```
Ca6Tl5Sb
1.0
5.3269 -0.0014 -1.4911
-4.0125 7.6850 -4.1011
-0.2050 -1.2294 9.5092
Ca Tl Sb
6 5 1
Cartesian
0.8935 0.1334 3.1824
0.2159 6.3208 0.7346
-0.3482 3.0405 -1.2561
-1.8257 4.8798 3.7069
2.9350 1.5745 0.2102
1.4576 3.4137 5.1731
0.5547 3.2271 1.9585
-0.6762 6.1089 -2.4414
1.7856 0.3453 6.3584
-1.4686 1.7289 4.9925
-2.7489 4.7267 0.4156
0.0000 0.0000 0.0000
```

Properties
- total magnetization (Bohr magnetons per cell) = 0.00
- formation energy without anion corrections (eV/atom) = -0.5112
- Fermi-level density of states (states/eV/atom) = 0.59

=====

# 18
## CaTlSb2 (PBE)

Data for crystalline CaTlSb2 at its relaxed geometry.

```
CaTlSb2
1.0
11.0264 0.1265 0.0746
10.3963 3.6761 0.0746
10.3963 1.8455 3.1802
Sb Ca Tl
2 1 1
Cartesian
15.6952 2.7860 1.6423
0.2143 0.0380 0.0224
23.8643 4.2361 2.4970
7.9548 1.4120 0.8323
```

Properties
- ΔE to the lowest computed polymorph (meV per atom) = 200.6
- total magnetization (Bohr magnetons per cell) = 0.00
- formation energy without anion corrections (eV/atom) = -0.2235
- Fermi-level density of states (states/eV/atom) = 0.25

=====

# 19
## Ca2Tl2Sb (PBE)

Data for crystalline Ca2Tl2Sb at its relaxed geometry.

```
Ca2Tl2Sb
1.0
-6.3785 4.4412 -2.5087
-5.0893 -5.2722 3.6064
0.2052 2.6311 4.1361
Ca Tl Sb
4 4 2
Cartesian
-8.7143 0.2310 0.2854
-5.0476 2.0859 -1.0765
-6.4202 -2.9170 2.1741
-2.7536 -1.0620 0.8122
-8.3667 -0.2991 3.5153
-7.1240 3.2436 1.2001
-4.1387 -1.4435 4.0336
-2.8959 2.0991 1.7184
-5.7339 -0.4155 0.5488
0.0000 0.0000 0.0000
```

Properties
- ΔE to the lowest computed polymorph (meV per atom) = 59.2
- total magnetization (Bohr magnetons per cell) = 0.00
- formation energy without anion corrections (eV/atom) = -0.3219
- Fermi-level density of states (states/eV/atom) = 0.62

=====

# 20
## CaTl2Sb (PBE)

Data for crystalline CaTl2Sb at its relaxed geometry.

```
CaTl2Sb
1.0
4.3395 0.0000 0.0000
0.0000 4.7442 -0.3864
0.0000 2.8222 5.9728
Tl Ca Sb
2 1 1
Cartesian
0.0000 3.8962 0.0311
2.1698 1.5739 0.8525
0.0000 4.1069 3.4108
2.1698 6.5165 3.6987
```

Properties
- ΔE to the lowest computed polymorph (meV per atom) = 25.7
- total magnetization (Bohr magnetons per cell) = 0.00
- formation energy without anion corrections (eV/atom) = -0.3725
- Fermi-level density of states (states/eV/atom) = 0.27

=====

# 21
## CaTlSb2 (PBE)

Data for crystalline CaTlSb2 at its relaxed geometry.

```
CaTlSb2
1.0
6.6923 0.0428 -0.0595
5.4008 3.9522 -0.0595
2.0351 0.6723 4.5517
Sb Ca Tl
2 1 1
Cartesian
10.4979 3.4680 3.5580
2.3251 0.7681 4.2204
3.6485 1.2053 1.1977
6.7559 2.2318 2.2245
```

Properties
- ΔE to the lowest computed polymorph (meV per atom) = 51.2
- total magnetization (Bohr magnetons per cell) = 0.00
- formation energy without anion corrections (eV/atom) = -0.3729
- Fermi-level density of states (states/eV/atom) = 0.31

=====

# 22
## CaTl2Sb (PBE)

Data for crystalline CaTl2Sb at its relaxed geometry.

```
CaTl2Sb
1.0
-3.1183 2.1167 -4.6638
2.8433 -1.3607 -5.1009
-1.6178 -3.3516 4.7016
Sb Ca Tl
1 1 2
Cartesian
0.5440 -2.1671 -2.6409
-0.1374 0.3779 -4.8813
-2.4368 -0.4285 -2.4220
0.0000 0.0001 -0.0014
```

Properties
- ΔE to the lowest computed polymorph (meV per atom) = 47.7
- total magnetization (Bohr magnetons per cell) = 0.00
- formation energy without anion corrections (eV/atom) = -0.3505
- Fermi-level density of states (states/eV/atom) = 0.41

=====

# 23
## CaTlSb2 (PBE)

Data for crystalline CaTlSb2 at its relaxed geometry.

```
CaTlSb2
1.0
-1.3801 5.5202 -0.6331
-2.3818 -1.7399 4.9069
3.0556 0.9736 1.8283
Tl Sb Ca
1 2 1
Cartesian
0.8377 3.2469 0.5976
0.0000 0.0000 0.0000
-1.8809 1.8902 2.1369
0.3369 -0.3832 3.3676
```

Properties
- ΔE to the lowest computed polymorph (meV per atom) = 47.8
- total magnetization (Bohr magnetons per cell) = 0.00
- formation energy without anion corrections (eV/atom) = -0.3764
- Fermi-level density of states (states/eV/atom) = 0.44

=====

# 24
## CaTlSb2 (PBE)

Data for crystalline CaTlSb2 at its relaxed geometry.

```
CaTlSb2
1.0
-2.2849 -1.9263 1.8671
-1.2094 -2.7983 -4.3669
4.7150 -4.2307 1.4052
Sb Tl Ca
2 1 1
Cartesian
-0.2131 -3.7387 -0.7927
4.3045 -3.8624 1.2829
2.0518 -1.8411 0.6115
2.1500 -5.8591 -0.0884
```

Properties
- ΔE to the lowest computed polymorph (meV per atom) = 149.5
- total magnetization (Bohr magnetons per cell) = 0.00
- formation energy without anion corrections (eV/atom) = -0.2746
- Fermi-level density of states (states/eV/atom) = 0.71

=====

# 25
## CaTl2Sb (PBE)

Data for crystalline CaTl2Sb at its relaxed geometry.

```
CaTl2Sb
1.0
0.0000 3.9114 3.9114
3.9114 0.0000 3.9114
3.9114 3.9114 0.0000
Sb Tl Ca
1 2 1
Cartesian
3.9114 3.9114 3.9114
5.8671 5.8671 5.8671
1.9557 1.9557 1.9557
0.0000 0.0000 0.0000
```

Properties
- ΔE to the lowest computed polymorph (meV per atom) = 187.5
- total magnetization (Bohr magnetons per cell) = 0.00
- formation energy without anion corrections (eV/atom) = -0.2107
- Fermi-level density of states (states/eV/atom) = 0.96

=====

# 26
## CaTl2Sb (PBE)

Data for crystalline CaTl2Sb at its relaxed geometry.

```
CaTl2Sb
1.0
8.9069 0.0000 0.0000
0.0000 8.9069 0.0000
4.4535 4.4535 3.1885
Sb Ca Tl
2 2 4
Cartesian
8.9069 4.4535 1.5942
0.0000 0.0000 0.0000
4.4535 8.9069 1.5942
4.4535 4.4535 0.0000
2.0058 6.6802 0.7971
11.1337 11.3546 2.3913
6.6802 6.4593 2.3913
6.9012 2.2267 0.7971
```

Properties
- ΔE to the lowest computed polymorph (meV per atom) = 116.3
- total magnetization (Bohr magnetons per cell) = 0.00
- formation energy without anion corrections (eV/atom) = -0.2819
- Fermi-level density of states (states/eV/atom) = 0.36

=====

Calculated E in order - -3.555; -2.622; -3.577; -3.522; -2.933; -3.397; -2.338; -2.953; -3.409; -2.875; -2.992; -3.024; -3.566; -3.352; -3.637; -2.992; -2.841; -3.377; -2.894; -3.087; -3.526; -3.065; -3.530; -3.428; -2.925; -2.996 eV per atom